Entry 1:
Entry from Alexandria via LeMat-Bulk: an optimized crystal structure of AlCo2Mo (PBE).

Geometry as POSCAR:
```
AlCo2Mo
1.0
-6.161 2.906 -4.896
-6.798 0.299 -4.905
-7.641 1.880 -2.907
Mo Co Al
1 2 1
direct
0.250 0.250 0.250 Mo
0.497 0.497 0.497 Co
0.003 0.003 0.003 Co
0.750 0.750 0.750 Al
```

Computed properties:
ΔE_f: -0.01 eV per atom
Total magnetization: 1.474 μB per formula unit

***

Entry 2:
Entry from Alexandria via LeMat-Bulk: an optimized crystal structure of Al2CoMo (PBE).

Geometry as POSCAR:
```
Al2CoMo
1.0
5.076 -0.004 0.001
2.199 4.575 -0.001
-2.979 -3.333 2.404
Co Al Mo
1 2 1
direct
0.750 0.250 0.500 Co
0.522 0.522 0.000 Al
0.978 0.978 0.000 Al
0.250 0.750 0.500 Mo
```

Computed properties:
ΔE_f: -0.14 eV per atom
Total magnetization: 1.058 μB per formula unit
Energy above the lowest structure with this stoichiometry: 0.1995 eV per atom

***

Entry 3:
Entry from Alexandria via LeMat-Bulk: an optimized crystal structure of AlCo2Mo (PBE).

Geometry as POSCAR:
```
AlCo2Mo
1.0
2.727 0.000 0.000
0.000 2.727 0.000
0.000 0.000 6.613
Co Al Mo
2 1 1
direct
0.000 0.000 0.518 Co
0.000 0.000 0.982 Co
0.500 0.500 0.750 Al
0.500 0.500 0.250 Mo
```

Computed properties:
ΔE_f: -0.30 eV per atom
Total magnetization: 0.001 μB per formula unit

***

Entry 4:
Entry from Alexandria via LeMat-Bulk: an optimized crystal structure of AlCoMo (PBE).

Geometry as POSCAR:
```
AlCoMo
1.0
-2.632 3.191 2.125
-4.729 -0.189 -0.485
-1.825 -3.447 8.002
Al Co Mo
4 4 4
direct
0.419 0.000 0.161 Al
0.581 0.000 0.839 Al
0.169 0.500 0.661 Al
0.331 0.500 0.339 Al
0.123 0.000 0.754 Co
0.627 0.500 0.746 Co
0.873 0.500 0.254 Co
0.877 0.000 0.246 Co
0.170 0.661 0.000 Mo
0.830 0.339 0.000 Mo
0.920 0.161 0.500 Mo
0.580 0.839 0.500 Mo
```

Computed properties:
ΔE_f: -0.20 eV per atom
Total magnetization: 0.000 μB per formula unit

***

Entry 5:
Entry from Alexandria via LeMat-Bulk: an optimized crystal structure of AlCo2Mo (PBE).

Geometry as POSCAR:
```
AlCo2Mo
1.0
4.652 0.000 0.000
1.874 4.258 0.000
-3.263 -2.129 2.542
Al Co Mo
1 2 1
direct
0.750 0.250 0.500 Al
0.000 0.000 0.000 Co
0.250 0.750 0.500 Co
0.500 0.500 0.000 Mo
```

Computed properties:
ΔE_f: -0.12 eV per atom
Total magnetization: 0.001 μB per formula unit

***

Entry 6:
Entry from Alexandria via LeMat-Bulk: an optimized crystal structure of AlCoMo2 (PBE).

Geometry as POSCAR:
```
AlCoMo2
1.0
4.121 0.000 0.000
0.000 2.706 0.000
0.000 1.925 5.096
Mo Co Al
2 1 1
direct
0.000 0.520 0.505 Mo
0.000 0.980 0.995 Mo
0.500 0.750 0.750 Co
0.500 0.250 0.250 Al
```

Computed properties:
ΔE_f: -0.07 eV per atom
Total magnetization: 0.799 μB per formula unit

***

Entry 7:
Entry from Alexandria via LeMat-Bulk: an optimized crystal structure of Al2Co2Mo (PBE).

Geometry as POSCAR:
```
Al2Co2Mo
1.0
6.936 0.000 0.000
0.000 6.936 0.000
0.000 0.000 2.669
Al Co Mo
4 4 2
direct
0.866 0.634 0.000 Al
0.634 0.134 0.000 Al
0.134 0.366 0.000 Al
0.366 0.866 0.000 Al
0.337 0.163 0.500 Co
0.663 0.837 0.500 Co
0.837 0.337 0.500 Co
0.163 0.663 0.500 Co
0.500 0.500 0.000 Mo
0.000 0.000 0.000 Mo
```

Computed properties:
ΔE_f: -0.22 eV per atom
Total magnetization: 0.000 μB per formula unit
Energy above the lowest structure with this stoichiometry: 0.0000 eV per atom

***

Entry 8:
Entry from Alexandria via LeMat-Bulk: an optimized crystal structure of Al2CoMo (PBE).

Geometry as POSCAR:
```
Al2CoMo
1.0
4.294 0.000 0.000
2.147 3.719 0.000
2.147 1.240 3.506
Al Co Mo
2 1 1
direct
0.250 0.250 0.250 Al
0.000 0.000 0.000 Al
0.500 0.500 0.500 Co
0.750 0.750 0.750 Mo
```

Computed properties:
ΔE_f: -0.05 eV per atom
Total magnetization: 2.548 μB per formula unit
Energy above the lowest structure with this stoichiometry: 0.2878 eV per atom

***

Entry 9:
Entry from Alexandria via LeMat-Bulk: an optimized crystal structure of AlCoMo2 (PBE).

Geometry as POSCAR:
```
AlCoMo2
1.0
4.573 0.000 0.000
0.000 4.573 0.000
0.000 0.000 2.733
Mo Co Al
2 1 1
direct
0.000 0.000 0.000 Mo
0.500 0.500 0.000 Mo
0.000 0.500 0.500 Co
0.500 0.000 0.500 Al
```

Computed properties:
ΔE_f: 0.12 eV per atom
Total magnetization: 1.161 μB per formula unit

***

Entry 10:
Entry from Alexandria via LeMat-Bulk: an optimized crystal structure of AlCo2Mo (PBE).

Geometry as POSCAR:
```
AlCo2Mo
1.0
-2.064 1.584 -0.647
-2.093 -1.646 2.648
1.580 3.446 3.390
Co Al Mo
2 1 1
direct
0.000 0.000 0.971 Co
0.500 0.500 0.267 Co
0.500 0.500 0.787 Al
0.000 0.000 0.474 Mo
```

Computed properties:
ΔE_f: -0.07 eV per atom
Total magnetization: 0.698 μB per formula unit

***

Entry 11:
Entry from Alexandria via LeMat-Bulk: an optimized crystal structure of AlCo2Mo (PBE).

Geometry as POSCAR:
```
AlCo2Mo
1.0
6.512 0.000 0.000
0.000 6.512 0.000
3.256 3.256 2.611
Mo Co Al
2 4 2
direct
0.750 0.250 0.500 Mo
0.000 0.000 0.000 Mo
0.375 0.367 0.750 Co
0.117 0.625 0.250 Co
0.633 0.125 0.250 Co
0.875 0.883 0.750 Co
0.500 0.500 0.000 Al
0.250 0.750 0.500 Al
```

Computed properties:
ΔE_f: 0.41 eV per atom
Total magnetization: 0.999 μB per formula unit

***

Entry 12:
Entry from Alexandria via LeMat-Bulk: an optimized crystal structure of Al4CoMo (PBE).

Geometry as POSCAR:
```
Al4CoMo
1.0
0.226 -4.971 0.539
-4.153 -2.757 -0.448
-0.609 -2.978 -3.976
Al Co Mo
4 1 1
direct
0.375 0.874 0.375 Al
0.874 0.375 0.375 Al
0.375 0.375 0.874 Al
0.375 0.375 0.375 Al
0.750 0.750 0.750 Co
0.000 0.000 0.000 Mo
```

Computed properties:
ΔE_f: 0.17 eV per atom
Total magnetization: 2.034 μB per formula unit